# SmS (GGA-PBE, relaxed)
data_SmS
_cell_length_a 5.664
_cell_length_b 5.664
_cell_length_c 5.664
_cell_angle_alpha 90.00
_cell_angle_beta 90.00
_cell_angle_gamma 90.00
_symmetry_space_group_name_H-M 'F m -3 m'
_symmetry_Int_Tables_number 225
_symmetry_space_group_name_Hall '-F 4 2 3'
loop_
_atom_site_label
_atom_site_fract_x
_atom_site_fract_y
_atom_site_fract_z
Sm1 0.000 0.000 0.000
S1 0.000 0.000 0.500
# Total energy, Ry/atom: -0.474

# Al2Tc3B2 (GGA-PBE, relaxed)
data_Al2Tc3B2
_cell_length_a 3.040
_cell_length_b 17.527
_cell_length_c 3.058
_cell_angle_alpha 90.00
_cell_angle_beta 90.00
_cell_angle_gamma 90.00
_symmetry_space_group_name_H-M 'C m m m'
_symmetry_Int_Tables_number 65
_symmetry_space_group_name_Hall '-C 2 2'
loop_
_atom_site_label
_atom_site_fract_x
_atom_site_fract_y
_atom_site_fract_z
Al1 0.000 0.082 0.000
Tc1 0.000 0.321 0.500
Tc2 0.000 0.500 0.500
B1 0.000 0.221 0.000
# Total energy, Ry/atom: -0.578

# Nd4Si3Ge (GGA-PBE, relaxed)
data_Nd4Si3Ge
_cell_length_a 13.334
_cell_length_b 4.466
_cell_length_c 6.553
_cell_angle_alpha 90.00
_cell_angle_beta 90.24
_cell_angle_gamma 90.00
_symmetry_space_group_name_H-M 'C 1 m 1'
_symmetry_Int_Tables_number 8
loop_
_symmetry_equiv_pos_as_xyz
'x,y,z'
'x,-y,z'
'x+1/2,y+1/2,z'
'x+1/2,-y+1/2,z'
loop_
_atom_site_label
_atom_site_fract_x
_atom_site_fract_y
_atom_site_fract_z
Nd1 0.000 0.000 0.000
Nd2 0.051 0.500 0.506
Nd3 0.224 0.500 0.005
Nd4 0.324 0.500 0.505
Si1 0.177 0.000 0.316
Si2 0.181 0.000 0.694
Si3 0.368 0.000 0.808
Ge1 0.371 0.000 0.197
# Total energy, Ry/atom: -0.424

# TaNbAlMo (GGA-PBE, relaxed)
data_TaNbAlMo
_cell_length_a 6.462
_cell_length_b 6.462
_cell_length_c 6.462
_cell_angle_alpha 90.00
_cell_angle_beta 90.00
_cell_angle_gamma 90.00
_symmetry_space_group_name_H-M 'F -4 3 m'
_symmetry_Int_Tables_number 216
_symmetry_space_group_name_Hall 'F -4 2 3'
loop_
_atom_site_label
_atom_site_fract_x
_atom_site_fract_y
_atom_site_fract_z
Ta1 0.000 0.000 0.000
Nb1 0.250 0.250 0.750
Al1 0.000 0.000 0.500
Mo1 0.250 0.250 0.250
# Total energy, Ry/atom: -0.674

# HoNb2Si2As (GGA-PBE, relaxed)
data_HoNb2Si2As
_cell_length_a 3.949
_cell_length_b 3.949
_cell_length_c 7.798
_cell_angle_alpha 90.00
_cell_angle_beta 90.00
_cell_angle_gamma 90.00
_symmetry_space_group_name_H-M 'P 4 m m'
_symmetry_Int_Tables_number 99
loop_
_symmetry_equiv_pos_as_xyz
'x,y,z'
'-y,x,z'
'-x,-y,z'
'y,-x,z'
'-x,y,z'
'y,x,z'
'x,-y,z'
'-y,-x,z'
loop_
_atom_site_label
_atom_site_fract_x
_atom_site_fract_y
_atom_site_fract_z
Ho1 0.000 0.000 0.000
Nb1 0.000 0.500 0.359
Si1 0.000 0.000 0.616
Si2 0.500 0.500 0.120
As1 0.500 0.500 0.631
# Total energy, Ry/atom: -0.518

# PrBiSeO2 (GGA-PBE, relaxed)
data_PrBiSeO2
_cell_length_a 3.971
_cell_length_b 3.971
_cell_length_c 13.591
_cell_angle_alpha 90.00
_cell_angle_beta 90.00
_cell_angle_gamma 90.00
_symmetry_space_group_name_H-M 'I 4 m m'
_symmetry_Int_Tables_number 107
_symmetry_space_group_name_Hall 'I 4 -2'
loop_
_atom_site_label
_atom_site_fract_x
_atom_site_fract_y
_atom_site_fract_z
Pr1 0.000 0.000 0.000
Bi1 0.000 0.000 0.328
Se1 0.000 0.000 0.646
O1 0.000 0.500 0.100
# Total energy, Ry/atom: -0.401

# Pr2AlSiCl2 (GGA-PBE, relaxed)
data_Pr2AlSiCl2
_cell_length_a 4.1471
_cell_length_b 4.1471
_cell_length_c 11.6924
_cell_angle_alpha 90.00
_cell_angle_beta 90.00
_cell_angle_gamma 120.00
_symmetry_space_group_name_H-M 'P 3 m 1'
_symmetry_Int_Tables_number 156
loop_
_symmetry_equiv_pos_as_xyz
'x,y,z'
'-y,x-y,z'
'-x+y,-x,z'
'-y,-x,z'
'-x+y,y,z'
'x,x-y,z'
loop_
_atom_site_label
_atom_site_fract_x
_atom_site_fract_y
_atom_site_fract_z
Pr1 0.0000 0.0000 0.0000
Pr2 0.0000 0.0000 0.3673
Al1 0.6667 0.3333 0.1700
Si1 0.3333 0.6667 0.1990
Cl1 0.3333 0.6667 0.8559
Cl2 0.6667 0.3333 0.5117
# Total energy, Ry/atom: -0.376

# HfAlNi (GGA-PBE, relaxed)
data_HfAlNi
_cell_length_a 5.505
_cell_length_b 3.369
_cell_length_c 10.694
_cell_angle_alpha 90.00
_cell_angle_beta 90.00
_cell_angle_gamma 90.00
_symmetry_space_group_name_H-M 'P n m a'
_symmetry_Int_Tables_number 62
loop_
_symmetry_equiv_pos_as_xyz
'x,y,z'
'-x,-y,-z'
'-x+1/2,-y,z+1/2'
'x+1/2,y,-z+1/2'
'x+1/2,-y+1/2,-z+1/2'
'-x+1/2,y+1/2,z+1/2'
'-x,y+1/2,-z'
'x,-y+1/2,z'
loop_
_atom_site_label
_atom_site_fract_x
_atom_site_fract_y
_atom_site_fract_z
Hf1 0.175 0.250 0.176
Al1 0.085 0.750 0.401
Ni1 0.165 0.750 0.990
# Total energy, Ry/atom: -0.495

# LaNpCd (GGA-PBE, relaxed)
data_LaNpCd
_cell_length_a 7.135
_cell_length_b 7.135
_cell_length_c 7.135
_cell_angle_alpha 90.00
_cell_angle_beta 90.00
_cell_angle_gamma 90.00
_symmetry_space_group_name_H-M 'F -4 3 m'
_symmetry_Int_Tables_number 216
_symmetry_space_group_name_Hall 'F -4 2 3'
loop_
_atom_site_label
_atom_site_fract_x
_atom_site_fract_y
_atom_site_fract_z
La1 0.000 0.000 0.000
Np1 0.250 0.250 0.250
Cd1 0.250 0.250 0.750
# Total energy, Ry/atom: -0.399
# Formation energy, eV/atom: 0.7714

# Dy5Sn2Bi2 (GGA-PBE, relaxed)
data_Dy5Sn2Bi2
_cell_length_a 15.584
_cell_length_b 8.198
_cell_length_c 8.224
_cell_angle_alpha 90.00
_cell_angle_beta 90.00
_cell_angle_gamma 90.00
_symmetry_space_group_name_H-M 'C m c e'
_symmetry_Int_Tables_number 64
_symmetry_space_group_name_Hall '-C 2ac 2'
loop_
_atom_site_label
_atom_site_fract_x
_atom_site_fract_y
_atom_site_fract_z
Dy1 0.000 0.000 0.000
Dy2 0.131 0.165 0.336
Sn1 0.000 0.137 0.637
Bi1 0.204 0.000 0.000
# Total energy, Ry/atom: -0.378

# SrBeNb (GGA-PBE, relaxed)
data_SrBeNb
_cell_length_a 6.613
_cell_length_b 6.613
_cell_length_c 6.613
_cell_angle_alpha 90.00
_cell_angle_beta 90.00
_cell_angle_gamma 90.00
_symmetry_space_group_name_H-M 'F -4 3 m'
_symmetry_Int_Tables_number 216
_symmetry_space_group_name_Hall 'F -4 2 3'
loop_
_atom_site_label
_atom_site_fract_x
_atom_site_fract_y
_atom_site_fract_z
Sr1 0.000 0.000 0.000
Be1 0.250 0.250 0.750
Nb1 0.000 0.000 0.500
# Total energy, Ry/atom: -0.291

# Er2TmAl3AgIr2 (GGA-PBE, relaxed)
data_Er2TmAl3AgIr2
_cell_length_a 3.994
_cell_length_b 12.302
_cell_length_c 7.127
_cell_angle_alpha 90.00
_cell_angle_beta 90.00
_cell_angle_gamma 90.00
_symmetry_space_group_name_H-M 'A m m 2'
_symmetry_Int_Tables_number 38
loop_
_symmetry_equiv_pos_as_xyz
'x,y,z'
'-x,-y,z'
'-x,y,z'
'x,-y,z'
'x,y+1/2,z+1/2'
'-x,-y+1/2,z+1/2'
'-x,y+1/2,z+1/2'
'x,-y+1/2,z+1/2'
loop_
_atom_site_label
_atom_site_fract_x
_atom_site_fract_y
_atom_site_fract_z
Er1 0.000 0.209 0.000
Tm1 0.000 0.000 0.374
Al1 0.500 0.000 0.051
Al2 0.500 0.130 0.661
Ag1 0.000 0.000 0.790
Ir1 0.500 0.166 0.291
# Total energy, Ry/atom: -0.425

# ZrZn (GGA-PBE, relaxed)
data_ZrZn
_cell_length_a 6.192
_cell_length_b 4.760
_cell_length_c 7.903
_cell_angle_alpha 90.00
_cell_angle_beta 100.83
_cell_angle_gamma 90.00
_symmetry_space_group_name_H-M 'P 1 21/m 1'
_symmetry_Int_Tables_number 11
loop_
_symmetry_equiv_pos_as_xyz
'x,y,z'
'-x,-y,-z'
'-x,y+1/2,-z'
'x,-y+1/2,z'
loop_
_atom_site_label
_atom_site_fract_x
_atom_site_fract_y
_atom_site_fract_z
Zr1 0.142 0.250 0.088
Zr2 0.299 0.250 0.703
Zr3 0.357 0.750 0.957
Zn1 0.037 0.750 0.602
Zn2 0.198 0.750 0.311
Zn3 0.488 0.250 0.396
# Total energy, Ry/atom: -0.366
# Formation energy, eV/atom: -0.0701